1.
# BaPrTl GGA-PBE relaxed
data_BaPrTl
_chemical_formula_sum 'Ba1 Pr1 Tl1'
_cell_length_a 5.6433
_cell_length_b 5.6433
_cell_length_c 4.1136
_cell_angle_alpha 90.00
_cell_angle_beta 90.00
_cell_angle_gamma 120.00
_space_group_name_H-M_alt 'P 3 m 1'
_space_group_IT_number 156
loop_
_space_group_symop_operation_xyz
'x,y,z'
'-y,x-y,z'
'-x+y,-x,z'
'-y,-x,z'
'-x+y,y,z'
'x,x-y,z'
loop_
_atom_site_label
_atom_site_type_symbol
_atom_site_fract_x
_atom_site_fract_y
_atom_site_fract_z
_atom_site_occupancy
Ba1 Ba 0.0000 0.0000 0.0000 1
Pr1 Pr 0.3333 0.6667 0.4314 1
Tl1 Tl 0.6667 0.3333 0.5703 1
# * energy relative to the lowest polymorph listed for this composition: 0.47 eV per formula unit

2.
# BaPrTl6

BaPrTl6 after structural relaxation (GGA-PBE, Alexandria via LeMat-Bulk).

CIF file:
```
data_BaPrTl6
_chemical_formula_sum 'Ba1 Pr1 Tl6'
_cell_length_a 4.982
_cell_length_b 4.982
_cell_length_c 10.017
_cell_angle_alpha 90.00
_cell_angle_beta 90.00
_cell_angle_gamma 90.00
_space_group_name_H-M_alt 'P 4/m m m'
_space_group_IT_number 123
_space_group_name_Hall '-P 4 2'
loop_
_atom_site_label
_atom_site_type_symbol
_atom_site_fract_x
_atom_site_fract_y
_atom_site_fract_z
_atom_site_occupancy
Ba1 Ba 0.000 0.000 0.000 1
Pr1 Pr 0.000 0.000 0.500 1
Tl1 Tl 0.000 0.500 0.262 1
Tl2 Tl 0.500 0.500 0.000 1
Tl3 Tl 0.500 0.500 0.500 1
```

3.
# BaPrTl GGA-PBE relaxed
data_BaPrTl
_chemical_formula_sum 'Ba2 Pr2 Tl2'
_cell_length_a 5.7666
_cell_length_b 5.7666
_cell_length_c 7.6614
_cell_angle_alpha 90.00
_cell_angle_beta 90.00
_cell_angle_gamma 120.00
_space_group_name_H-M_alt 'P 63/m m c'
_space_group_IT_number 194
_space_group_name_Hall '-P 6c 2c'
loop_
_atom_site_label
_atom_site_type_symbol
_atom_site_fract_x
_atom_site_fract_y
_atom_site_fract_z
_atom_site_occupancy
Ba1 Ba 0.0000 0.0000 0.0000 1
Pr1 Pr 0.3333 0.6667 0.2500 1
Tl1 Tl 0.3333 0.6667 0.7500 1
# * energy relative to the lowest polymorph listed for this composition: 0.25 eV per formula unit

4.
# Ba5PrTl6

Ba5PrTl6 after structural relaxation (GGA-PBE, Alexandria via LeMat-Bulk).

CIF file:
```
data_Ba5PrTl6
_chemical_formula_sum 'Ba10 Pr2 Tl12'
_cell_length_a 19.062
_cell_length_b 8.342
_cell_length_c 6.009
_cell_angle_alpha 90.00
_cell_angle_beta 108.12
_cell_angle_gamma 90.00
_space_group_name_H-M_alt 'C 1 2/m 1'
_space_group_IT_number 12
loop_
_space_group_symop_operation_xyz
'x,y,z'
'-x,-y,-z'
'-x,y,-z'
'x,-y,z'
'x+1/2,y+1/2,z'
'-x+1/2,-y+1/2,-z'
'-x+1/2,y+1/2,-z'
'x+1/2,-y+1/2,z'
loop_
_atom_site_label
_atom_site_type_symbol
_atom_site_fract_x
_atom_site_fract_y
_atom_site_fract_z
_atom_site_occupancy
Ba1 Ba 0.000 0.000 0.000 1
Ba2 Ba 0.160 0.000 0.660 1
Ba3 Ba 0.184 0.500 0.684 1
Pr1 Pr 0.000 0.500 0.000 1
Tl1 Tl 0.000 0.291 0.500 1
Tl2 Tl 0.155 0.279 0.154 1
```

5.
# BaPr2Tl9

BaPr2Tl9 after structural relaxation (GGA-PBE, Alexandria via LeMat-Bulk).

CIF file:
```
data_BaPr2Tl9
_chemical_formula_sum 'Ba1 Pr2 Tl9'
_cell_length_a 4.946
_cell_length_b 4.946
_cell_length_c 14.833
_cell_angle_alpha 90.00
_cell_angle_beta 90.00
_cell_angle_gamma 90.00
_space_group_name_H-M_alt 'P 4/m m m'
_space_group_IT_number 123
_space_group_name_Hall '-P 4 2'
loop_
_atom_site_label
_atom_site_type_symbol
_atom_site_fract_x
_atom_site_fract_y
_atom_site_fract_z
_atom_site_occupancy
Ba1 Ba 0.000 0.000 0.000 1
Pr1 Pr 0.000 0.000 0.343 1
Tl1 Tl 0.000 0.500 0.177 1
Tl2 Tl 0.000 0.500 0.500 1
Tl3 Tl 0.500 0.500 0.000 1
Tl4 Tl 0.500 0.500 0.335 1
```

6.
# Ba2Pr3Tl4

Ba2Pr3Tl4 after structural relaxation (GGA-PBE, Alexandria via LeMat-Bulk).

CIF file:
```
data_Ba2Pr3Tl4
_chemical_formula_sum 'Ba8 Pr12 Tl16'
_cell_length_a 7.660
_cell_length_b 18.225
_cell_length_c 9.474
_cell_angle_alpha 90.00
_cell_angle_beta 90.00
_cell_angle_gamma 90.00
_space_group_name_H-M_alt 'C m c e'
_space_group_IT_number 64
_space_group_name_Hall '-C 2ac 2'
loop_
_atom_site_label
_atom_site_type_symbol
_atom_site_fract_x
_atom_site_fract_y
_atom_site_fract_z
_atom_site_occupancy
Ba1 Ba 0.000 0.108 0.079 1
Pr1 Pr 0.000 0.000 0.500 1
Pr2 Pr 0.250 0.223 0.750 1
Tl1 Tl 0.000 0.182 0.468 1
Tl2 Tl 0.250 0.048 0.750 1
```

7.
# BaPr2Tl2

BaPr2Tl2 after structural relaxation (GGA-PBE, Alexandria via LeMat-Bulk).

CIF file:
```
data_BaPr2Tl2
_chemical_formula_sum 'Ba2 Pr4 Tl4'
_cell_length_a 7.590
_cell_length_b 5.433
_cell_length_c 9.457
_cell_angle_alpha 90.00
_cell_angle_beta 113.64
_cell_angle_gamma 90.00
_space_group_name_H-M_alt 'P 1 21/m 1'
_space_group_IT_number 11
loop_
_space_group_symop_operation_xyz
'x,y,z'
'-x,-y,-z'
'-x,y+1/2,-z'
'x,-y+1/2,z'
loop_
_atom_site_label
_atom_site_type_symbol
_atom_site_fract_x
_atom_site_fract_y
_atom_site_fract_z
_atom_site_occupancy
Ba1 Ba 0.095 0.250 0.188 1
Pr1 Pr 0.269 0.750 0.538 1
Pr2 Pr 0.453 0.750 0.910 1
Tl1 Tl 0.165 0.250 0.737 1
Tl2 Tl 0.429 0.750 0.264 1
```

8.
# BaPr5Tl3

BaPr5Tl3 after structural relaxation (GGA-PBE, Alexandria via LeMat-Bulk).

CIF file:
```
data_BaPr5Tl3
_chemical_formula_sum 'Ba2 Pr10 Tl6'
_cell_length_a 9.8206
_cell_length_b 9.8206
_cell_length_c 7.1863
_cell_angle_alpha 90.00
_cell_angle_beta 90.00
_cell_angle_gamma 120.00
_space_group_name_H-M_alt 'P 63/m c m'
_space_group_IT_number 193
_space_group_name_Hall '-P 6c 2'
loop_
_atom_site_label
_atom_site_type_symbol
_atom_site_fract_x
_atom_site_fract_y
_atom_site_fract_z
_atom_site_occupancy
Ba1 Ba 0.0000 0.0000 0.0000 1
Pr1 Pr 0.0000 0.3395 0.2500 1
Pr2 Pr 0.3333 0.6667 0.0000 1
Tl1 Tl 0.0000 0.3349 0.7500 1
```

9.
# Ba2PrTl2

Ba2PrTl2 after structural relaxation (GGA-PBE, Alexandria via LeMat-Bulk).

CIF file:
```
data_Ba2PrTl2
_chemical_formula_sum 'Ba8 Pr4 Tl8'
_cell_length_a 9.951
_cell_length_b 13.401
_cell_length_c 6.579
_cell_angle_alpha 90.00
_cell_angle_beta 90.00
_cell_angle_gamma 90.00
_space_group_name_H-M_alt 'I b a m'
_space_group_IT_number 72
_space_group_name_Hall '-I 2 2c'
loop_
_atom_site_label
_atom_site_type_symbol
_atom_site_fract_x
_atom_site_fract_y
_atom_site_fract_z
_atom_site_occupancy
Ba1 Ba 0.133 0.172 0.000 1
Pr1 Pr 0.000 0.500 0.250 1
Tl1 Tl 0.228 0.079 0.500 1
```

10.
# BaPr5Tl6

BaPr5Tl6 after structural relaxation (GGA-PBE, Alexandria via LeMat-Bulk).

CIF file:
```
data_BaPr5Tl6
_chemical_formula_sum 'Ba1 Pr5 Tl6'
_cell_length_a 5.660
_cell_length_b 7.912
_cell_length_c 8.965
_cell_angle_alpha 90.00
_cell_angle_beta 108.23
_cell_angle_gamma 90.00
_space_group_name_H-M_alt 'P 1 2/m 1'
_space_group_IT_number 10
loop_
_space_group_symop_operation_xyz
'x,y,z'
'-x,-y,-z'
'-x,y,-z'
'x,-y,z'
loop_
_atom_site_label
_atom_site_type_symbol
_atom_site_fract_x
_atom_site_fract_y
_atom_site_fract_z
_atom_site_occupancy
Ba1 Ba 0.000 0.000 0.000 1
Pr1 Pr 0.000 0.500 0.000 1
Pr2 Pr 0.327 0.000 0.666 1
Pr3 Pr 0.330 0.500 0.674 1
Tl1 Tl 0.181 0.258 0.344 1
Tl2 Tl 0.500 0.262 0.000 1
```

11.
# BaPr2Tl3

BaPr2Tl3 after structural relaxation (GGA-PBE, Alexandria via LeMat-Bulk).

CIF file:
```
data_BaPr2Tl3
_chemical_formula_sum 'Ba1 Pr2 Tl3'
_cell_length_a 4.017
_cell_length_b 4.017
_cell_length_c 12.355
_cell_angle_alpha 90.00
_cell_angle_beta 90.00
_cell_angle_gamma 90.00
_space_group_name_H-M_alt 'P 4/m m m'
_space_group_IT_number 123
_space_group_name_Hall '-P 4 2'
loop_
_atom_site_label
_atom_site_type_symbol
_atom_site_fract_x
_atom_site_fract_y
_atom_site_fract_z
_atom_site_occupancy
Ba1 Ba 0.000 0.000 0.000 1
Pr1 Pr 0.000 0.000 0.342 1
Tl1 Tl 0.500 0.500 0.194 1
Tl2 Tl 0.500 0.500 0.500 1
```

12.
# BaPrTm2 GGA-PBE relaxed
data_BaPrTm2
_chemical_formula_sum 'Ba1 Pr1 Tm2'
_cell_length_a 3.731
_cell_length_b 3.731
_cell_length_c 10.701
_cell_angle_alpha 90.00
_cell_angle_beta 90.00
_cell_angle_gamma 90.00
_space_group_name_H-M_alt 'P 4/m m m'
_space_group_IT_number 123
_space_group_name_Hall '-P 4 2'
loop_
_atom_site_label
_atom_site_type_symbol
_atom_site_fract_x
_atom_site_fract_y
_atom_site_fract_z
_atom_site_occupancy
Ba1 Ba 0.000 0.000 0.000 1
Pr1 Pr 0.000 0.000 0.500 1
Tm1 Tm 0.500 0.500 0.279 1
# * energy relative to the lowest polymorph listed for this composition: 0.00 eV per formula unit

13.
# BaPrTm2 GGA-PBE relaxed
data_BaPrTm2
_chemical_formula_sum 'Ba3 Pr3 Tm6'
_cell_length_a 3.6215
_cell_length_b 3.6215
_cell_length_c 38.6298
_cell_angle_alpha 90.00
_cell_angle_beta 90.00
_cell_angle_gamma 120.00
_space_group_name_H-M_alt 'R -3 m'
_space_group_IT_number 166
_space_group_name_Hall '-R 3 2"'
loop_
_atom_site_label
_atom_site_type_symbol
_atom_site_fract_x
_atom_site_fract_y
_atom_site_fract_z
_atom_site_occupancy
Ba1 Ba 0.0000 0.0000 0.0000 1
Pr1 Pr 0.0000 0.0000 0.5000 1
Tm1 Tm 0.0000 0.0000 0.0930 1
# * energy relative to the lowest polymorph listed for this composition: 0.30 eV per formula unit

14.
# BaPrY2 GGA-PBE relaxed
data_BaPrY2
_chemical_formula_sum 'Ba1 Pr1 Y2'
_cell_length_a 3.759
_cell_length_b 3.759
_cell_length_c 10.897
_cell_angle_alpha 90.00
_cell_angle_beta 90.00
_cell_angle_gamma 90.00
_space_group_name_H-M_alt 'P 4/m m m'
_space_group_IT_number 123
_space_group_name_Hall '-P 4 2'
loop_
_atom_site_label
_atom_site_type_symbol
_atom_site_fract_x
_atom_site_fract_y
_atom_site_fract_z
_atom_site_occupancy
Ba1 Ba 0.000 0.000 0.000 1
Pr1 Pr 0.000 0.000 0.500 1
Y1 Y 0.500 0.500 0.280 1
# * energy relative to the lowest polymorph listed for this composition: 0.03 eV per formula unit

15.
# BaPr2Y GGA-PBE relaxed
data_BaPr2Y
_chemical_formula_sum 'Ba1 Pr2 Y1'
_cell_length_a 5.328
_cell_length_b 5.328
_cell_length_c 5.467
_cell_angle_alpha 90.00
_cell_angle_beta 90.00
_cell_angle_gamma 90.00
_space_group_name_H-M_alt 'P 4/m m m'
_space_group_IT_number 123
_space_group_name_Hall '-P 4 2'
loop_
_atom_site_label
_atom_site_type_symbol
_atom_site_fract_x
_atom_site_fract_y
_atom_site_fract_z
_atom_site_occupancy
Ba1 Ba 0.000 0.000 0.000 1
Pr1 Pr 0.000 0.500 0.500 1
Y1 Y 0.500 0.500 0.000 1
# * energy relative to the lowest polymorph listed for this composition: 0.35 eV per formula unit

16.
# BaPr2Y GGA-PBE relaxed
data_BaPr2Y
_chemical_formula_sum 'Ba1 Pr2 Y1'
_cell_length_a 3.798
_cell_length_b 3.798
_cell_length_c 10.966
_cell_angle_alpha 90.00
_cell_angle_beta 90.00
_cell_angle_gamma 90.00
_space_group_name_H-M_alt 'P 4/m m m'
_space_group_IT_number 123
_space_group_name_Hall '-P 4 2'
loop_
_atom_site_label
_atom_site_type_symbol
_atom_site_fract_x
_atom_site_fract_y
_atom_site_fract_z
_atom_site_occupancy
Ba1 Ba 0.000 0.000 0.000 1
Pr1 Pr 0.500 0.500 0.281 1
Y1 Y 0.000 0.000 0.500 1
# * energy relative to the lowest polymorph listed for this composition: 0.00 eV per formula unit

17.
# BaPr2Y GGA-PBE relaxed
data_BaPr2Y
_chemical_formula_sum 'Ba3 Pr6 Y3'
_cell_length_a 3.7113
_cell_length_b 3.7113
_cell_length_c 39.6951
_cell_angle_alpha 90.00
_cell_angle_beta 90.00
_cell_angle_gamma 120.00
_space_group_name_H-M_alt 'R -3 m'
_space_group_IT_number 166
_space_group_name_Hall '-R 3 2"'
loop_
_atom_site_label
_atom_site_type_symbol
_atom_site_fract_x
_atom_site_fract_y
_atom_site_fract_z
_atom_site_occupancy
Ba1 Ba 0.0000 0.0000 0.0000 1
Pr1 Pr 0.0000 0.0000 0.0935 1
Y1 Y 0.0000 0.0000 0.5000 1
# * energy relative to the lowest polymorph listed for this composition: 0.32 eV per formula unit

18.
# BaPrY2 GGA-PBE relaxed
data_BaPrY2
_chemical_formula_sum 'Ba3 Pr3 Y6'
_cell_length_a 3.7511
_cell_length_b 3.7511
_cell_length_c 36.9568
_cell_angle_alpha 90.00
_cell_angle_beta 90.00
_cell_angle_gamma 120.00
_space_group_name_H-M_alt 'R -3 m'
_space_group_IT_number 166
_space_group_name_Hall '-R 3 2"'
loop_
_atom_site_label
_atom_site_type_symbol
_atom_site_fract_x
_atom_site_fract_y
_atom_site_fract_z
_atom_site_occupancy
Ba1 Ba 0.0000 0.0000 0.0000 1
Pr1 Pr 0.0000 0.0000 0.5000 1
Y1 Y 0.0000 0.0000 0.2440 1
# * energy relative to the lowest polymorph listed for this composition: 0.00 eV per formula unit

19.
# BaPr2Y GGA-PBE relaxed
data_BaPr2Y
_chemical_formula_sum 'Ba3 Pr6 Y3'
_cell_length_a 3.7827
_cell_length_b 3.7827
_cell_length_c 37.8918
_cell_angle_alpha 90.00
_cell_angle_beta 90.00
_cell_angle_gamma 120.00
_space_group_name_H-M_alt 'R 3 m'
_space_group_IT_number 160
_space_group_name_Hall 'R 3 -2"'
loop_
_atom_site_label
_atom_site_type_symbol
_atom_site_fract_x
_atom_site_fract_y
_atom_site_fract_z
_atom_site_occupancy
Ba1 Ba 0.0000 0.0000 0.0000 1
Pr1 Pr 0.0000 0.0000 0.5755 1
Pr2 Pr 0.0000 0.0000 0.7572 1
Y1 Y 0.0000 0.0000 0.1663 1
# * energy relative to the lowest polymorph listed for this composition: 0.04 eV per formula unit

20.
# BaPrZn2 GGA-PBE relaxed
data_BaPrZn2
_chemical_formula_sum 'Ba4 Pr4 Zn8'
_cell_length_a 7.798
_cell_length_b 7.798
_cell_length_c 7.798
_cell_angle_alpha 90.00
_cell_angle_beta 90.00
_cell_angle_gamma 90.00
_space_group_name_H-M_alt 'F m -3 m'
_space_group_IT_number 225
_space_group_name_Hall '-F 4 2 3'
loop_
_atom_site_label
_atom_site_type_symbol
_atom_site_fract_x
_atom_site_fract_y
_atom_site_fract_z
_atom_site_occupancy
Ba1 Ba 0.000 0.000 0.000 1
Pr1 Pr 0.000 0.000 0.500 1
Zn1 Zn 0.250 0.250 0.250 1
# * energy relative to the lowest polymorph listed for this composition: 0.32 eV per formula unit

Uncorrected energy per entry: -3.153; -2.892; -3.225; -2.775; -3.029; -3.340; -3.486; -3.894; -2.841; -3.694; -3.482; -3.738; -3.662; -4.761; -4.294; -4.381; -4.301; -4.768; -4.370; -2.446 eV per atom
DOS at the Fermi energy per entry: 1.024; 0.535; 0.557; 0.748; 0.481; 1.154; 0.578; 1.165; 1.264; 1.058; 0.728; 1.536; 1.477; 1.679; 1.708; 1.403; 1.489; 1.234; 1.382; 0.643 states/eV/atom